First-principles (PBE) data for an optimized crystal structure of KHg3, as listed in Alexandria.

Unit cell a=4.067 b=4.209 c=7.233 alpha=90.00 beta=90.00 gamma=90.00
Element x y z (fractional)
K 0.000 0.000 0.000
Hg 0.000 0.000 0.500
Hg 0.500 0.500 0.278
Hg 0.500 0.500 0.722

Computed properties:
Space-group type: Pmmm
DFT formation energy: -0.20 eV/atom
Calculated density: 8.597 g cm⁻³